(a)
Compound: ScPtBr
Source: Alexandria
Functional: PBE
Structure: optimized geometry

a = 4.6267 Å, b = 4.6267 Å, c = 4.6267 Å
α = 60.00°, β = 60.00°, γ = 60.00°
Positions (direct):
Sc 0.0000 0.0000 0.0000
Pt 0.7500 0.7500 0.7500
Br 0.5000 0.5000 0.5000

Values from the calculation:
Space group: F-43m (216)
V: 70 Å³ per cell

***

(b)
Compound: ScPtBr
Source: Alexandria
Functional: PBE
Structure: optimized geometry

a = 6.7559 Å, b = 6.7559 Å, c = 6.7559 Å
α = 152.06°, β = 152.06°, γ = 39.93°
Positions (direct):
Sc 0.0000 0.0000 0.0000
Pt 0.3857 0.3857 0.0000
Br 0.6458 0.6458 0.0000

Values from the calculation:
Space group: I4mm (107)
V: 68 Å³ per cell

***

(c)
Compound: ScPtBr
Source: Alexandria
Functional: PBE
Structure: optimized geometry

a = 4.6046 Å, b = 4.6046 Å, c = 4.6046 Å
α = 60.00°, β = 60.00°, γ = 60.00°
Positions (direct):
Sc 0.0000 0.0000 0.0000
Pt 0.2500 0.2500 0.2500
Br 0.7500 0.7500 0.7500

Values from the calculation:
Space group: F-43m (216)
V: 69 Å³ per cell

***

(d)
Compound: ScPtBr
Source: Alexandria
Functional: PBE
Structure: optimized geometry

a = 3.6663 Å, b = 3.6663 Å, c = 6.2429 Å
α = 90.00°, β = 90.00°, γ = 120.00°
Positions (direct):
Sc 0.0000 0.0000 0.0000
Pt 0.3333 0.6667 0.7603
Br 0.6667 0.3333 0.2975

Values from the calculation:
Space group: P3m1 (156)
V: 73 Å³ per cell

***

Verdict on stability: (a) comes out at the bottom.

***

(a)
Compound: ScPtBr3
Source: Alexandria
Functional: PBE
Structure: optimized geometry

a = 5.2273 Å, b = 5.2273 Å, c = 5.2273 Å
α = 90.00°, β = 90.00°, γ = 90.00°
Positions (direct):
Sc 0.0000 0.0000 0.0000
Pt 0.5000 0.5000 0.5000
Br 0.0000 0.0000 0.5000
Br 0.0000 0.5000 0.0000
Br 0.5000 0.0000 0.0000

Values from the calculation:
Space group: Pm-3m (221)
V: 143 Å³ per cell

***

(b)
Compound: ScPtBr3
Source: Alexandria
Functional: PBE
Structure: optimized geometry

a = 5.1702 Å, b = 5.1702 Å, c = 5.1702 Å
α = 90.00°, β = 90.00°, γ = 90.00°
Positions (direct):
Sc 0.0000 0.0000 0.0000
Pt 0.5000 0.5000 0.5000
Br 0.0000 0.5000 0.5000
Br 0.5000 0.0000 0.5000
Br 0.5000 0.5000 0.0000

Values from the calculation:
Space group: Pm-3m (221)
V: 138 Å³ per cell

***

Verdict on stability: (b) comes out at the bottom.